Arrangement one

Computed, not measured: a relaxed PmErSe2 crystal at the PBE level of DFT.

```
PmErSe2
1.0
7.151 0.000 0.000
0.000 7.151 0.000
0.000 0.000 7.151
Pm Er Se
4 4 8
Cartesian
0.000 0.000 0.000 Pm
0.000 3.576 3.576 Pm
3.576 0.000 3.576 Pm
3.576 3.576 0.000 Pm
0.000 0.000 3.576 Er
0.000 3.576 0.000 Er
3.576 0.000 0.000 Er
3.576 3.576 3.576 Er
1.788 1.788 1.788 Se
1.788 1.788 5.364 Se
1.788 5.364 1.788 Se
1.788 5.364 5.364 Se
5.364 1.788 1.788 Se
5.364 1.788 5.364 Se
5.364 5.364 1.788 Se
5.364 5.364 5.364 Se
```

Values from the calculation:
Total moment, μB per cell: 0.056

***

Arrangement two

Computed, not measured: a relaxed PmErSe2 crystal at the PBE level of DFT.

```
PmErSe2
1.0
4.080 0.000 0.000
-2.040 3.533 0.000
0.000 0.000 20.546
Pm Er Se
3 3 6
Cartesian
0.000 0.000 0.000 Pm
0.000 2.356 13.698 Pm
2.040 1.178 6.849 Pm
0.000 0.000 10.273 Er
0.000 2.356 3.424 Er
2.040 1.178 17.122 Er
0.000 0.000 5.029 Se
0.000 0.000 15.517 Se
0.000 2.356 8.668 Se
0.000 2.356 18.727 Se
2.040 1.178 1.820 Se
2.040 1.178 11.878 Se
```

Values from the calculation:
Total moment, μB per cell: 0.000

***

It turns out arrangement two is the most stable, with the second structure 0.253 eV/atom higher.

***

Arrangement one

Computed, not measured: a relaxed PmEr6Se8 crystal at the PBE level of DFT.

```
PmEr6Se8
1.0
0.000 5.703 5.703
5.703 0.000 5.703
5.703 5.703 0.000
Pm Er Se
1 6 8
Cartesian
0.000 0.000 0.000 Pm
2.851 2.851 0.000 Er
2.851 0.000 2.851 Er
5.703 2.851 2.851 Er
0.000 2.851 2.851 Er
2.851 5.703 2.851 Er
2.851 2.851 5.703 Er
2.851 2.851 2.851 Se
5.703 5.703 2.968 Se
5.703 2.968 5.703 Se
8.438 5.703 5.703 Se
2.968 5.703 5.703 Se
5.703 8.438 5.703 Se
5.703 5.703 8.438 Se
8.554 8.554 8.554 Se
```

Values from the calculation:
Total moment, μB per cell: 0.001

***

Arrangement two

Computed, not measured: a relaxed PmEr6Se8 crystal at the PBE level of DFT.

```
PmEr6Se8
1.0
5.484 3.166 4.231
-5.484 3.166 4.231
0.000 -6.332 4.231
Pm Er Se
1 6 8
Cartesian
0.000 0.000 0.000 Pm
-2.048 -0.162 4.901 Er
1.165 -1.693 4.901 Er
-0.884 -1.855 7.792 Er
0.884 1.855 4.901 Er
-1.165 1.693 7.792 Er
2.048 0.162 7.792 Er
-1.244 -3.064 5.233 Se
0.000 0.000 2.964 Se
-3.276 -0.455 7.461 Se
-2.031 2.610 5.233 Se
2.031 -2.610 7.461 Se
3.276 0.455 5.233 Se
0.000 0.000 9.730 Se
1.244 3.064 7.461 Se
```

Values from the calculation:
Total moment, μB per cell: 0.214

***

It turns out arrangement one is the most stable, with the second structure 0.332 eV/atom higher.

***

Arrangement one

Computed, not measured: a relaxed Pm2Er2Se5 crystal at the PBE level of DFT.

```
Pm2Er2Se5
1.0
-8.929 4.120 3.555
8.929 -4.120 3.555
8.929 4.120 -3.555
Pm Er Se
4 4 10
Cartesian
1.669 0.574 0.000 Pm
7.260 0.574 0.000 Pm
1.669 3.546 3.555 Pm
7.260 3.546 3.555 Pm
4.464 -0.851 3.354 Er
0.000 4.120 0.250 Er
0.000 0.000 3.805 Er
4.464 4.971 -0.201 Er
4.464 -0.627 0.615 Se
9.510 2.393 -1.875 Se
8.347 -1.727 1.681 Se
13.393 0.627 0.615 Se
-0.581 1.727 1.681 Se
9.510 1.727 1.681 Se
2.620 3.246 0.773 Se
6.309 3.246 0.773 Se
2.620 0.874 4.328 Se
6.309 0.874 4.328 Se
```

Values from the calculation:
Total moment, μB per cell: 0.000

***

Arrangement two

Computed, not measured: a relaxed Pm2Er2Se5 crystal at the PBE level of DFT.

```
Pm2Er2Se5
1.0
7.388 -3.871 0.000
7.388 3.871 0.000
0.000 0.000 7.690
Pm Er Se
4 4 10
Cartesian
2.923 0.000 0.000 Pm
4.466 0.000 3.845 Pm
10.311 0.000 3.845 Pm
11.854 0.000 0.000 Pm
7.388 2.701 5.046 Er
7.388 1.169 1.201 Er
7.388 -1.169 6.488 Er
7.388 -2.701 2.644 Er
0.000 0.000 0.000 Se
5.394 2.640 2.657 Se
5.394 1.230 6.502 Se
9.383 2.640 2.657 Se
9.383 1.230 6.502 Se
7.388 0.000 3.845 Se
5.394 -1.230 1.188 Se
5.394 -2.640 5.032 Se
9.383 -1.230 1.188 Se
9.383 -2.640 5.032 Se
```

Values from the calculation:
Total moment, μB per cell: 0.000

***

It turns out arrangement two is the most stable, with the second structure 0.101 eV/atom higher.